# TbIn2ReO8

Crystalline TbIn2ReO8 at its relaxed geometry (GGA-PBE, Alexandria).

Cell lengths 4.963, 6.607, 4.970 Å; angles 90.00, 91.07, 90.00 degrees
Space group P2/m (No. 10)
One atom of each set of equivalent atoms:
Tb1 0.000 0.000 0.000 (multiplicity 1)
In1 0.500 0.250 0.500 (multiplicity 2)
Re1 0.000 0.500 0.000 (multiplicity 1)
O1 0.184 0.294 0.818 (multiplicity 4)
O2 0.281 0.500 0.282 (multiplicity 2)
O3 0.309 0.000 0.311 (multiplicity 2)

Output
Magnetization, μB per formula unit: 0.0
ΔE_f (raw), eV/atom: -1.9138